[1]
! PBE DyBiN2O, relaxed; values from VASP
&SYSTEM
  ibrav = 0, nat = 10, ntyp = 4
/
ATOMIC_SPECIES
Dy 162.50 Dy.upf
Bi 208.98 Bi.upf
N 14.01 N.upf
O 16.00 O.upf
CELL_PARAMETERS angstrom
-4.355 2.851 2.909
4.355 -2.851 2.909
4.355 2.851 -2.909
ATOMIC_POSITIONS crystal
Dy 0.034 0.250 0.284
Dy 0.966 0.750 0.716
Bi 0.525 0.025 0.500
Bi 0.525 0.525 0.000
N 0.027 0.177 0.675
N 0.027 0.852 0.349
N 0.503 0.352 0.325
N 0.503 0.677 0.651
O 0.445 0.841 0.104
O 0.736 0.341 0.896
! Space group: No. 46
! DFT total energy (eV per atom): -6.6259
! Theoretical density (g/cm3): 9.6

---

[2]
! PBE CoCuAsAu, relaxed; values from VASP
&SYSTEM
  ibrav = 0, nat = 4, ntyp = 4
/
ATOMIC_SPECIES
Co 58.93 Co.upf
Cu 63.55 Cu.upf
As 74.92 As.upf
Au 196.97 Au.upf
CELL_PARAMETERS angstrom
0.000 3.072 3.072
3.072 0.000 3.072
3.072 3.072 0.000
ATOMIC_POSITIONS crystal
Co 0.000 0.000 0.000
Cu 0.500 0.500 0.500
As 0.750 0.750 0.750
Au 0.250 0.250 0.250
! Space group: No. 216
! DFT total energy (eV per atom): -4.4848
! Theoretical density (g/cm3): 11.3

---

[3]
! PBE Sr2AgS6I, relaxed; values from VASP
&SYSTEM
  ibrav = 0, nat = 10, ntyp = 4
/
ATOMIC_SPECIES
Sr 87.62 Sr.upf
Ag 107.87 Ag.upf
S 32.06 S.upf
I 126.90 I.upf
CELL_PARAMETERS angstrom
-3.386 3.386 5.661
3.386 -3.386 5.661
3.386 3.386 -5.661
ATOMIC_POSITIONS crystal
Sr 0.250 0.750 0.500
Sr 0.750 0.250 0.500
Ag 0.000 0.000 0.000
S 0.089 0.626 0.716
S 0.261 0.261 0.000
S 0.374 0.089 0.463
S 0.626 0.911 0.537
S 0.739 0.739 0.000
S 0.911 0.374 0.284
I 0.500 0.500 0.000
! Space group: No. 87
! DFT total energy (eV per atom): -3.8282
! Theoretical density (g/cm3): 3.9

---

[4]
! PBE GeOsO4, relaxed; values from VASP
&SYSTEM
  ibrav = 0, nat = 6, ntyp = 3
/
ATOMIC_SPECIES
Ge 72.64 Ge.upf
Os 190.23 Os.upf
O 16.00 O.upf
CELL_PARAMETERS angstrom
3.136 -3.181 0.000
3.136 3.181 0.000
0.000 0.000 3.106
ATOMIC_POSITIONS crystal
Ge 0.000 0.000 0.000
Os 0.500 0.500 0.500
O 0.189 0.811 0.500
O 0.303 0.303 0.000
O 0.697 0.697 0.000
O 0.811 0.189 0.500
! Space group: No. 65
! DFT total energy (eV per atom): -7.0683
! Theoretical density (g/cm3): 8.8

---

[5]
! PBE GaReW, relaxed; values from VASP
&SYSTEM
  ibrav = 0, nat = 3, ntyp = 3
/
ATOMIC_SPECIES
Ga 69.72 Ga.upf
Re 186.21 Re.upf
W 183.84 W.upf
CELL_PARAMETERS angstrom
0.000 3.004 3.004
3.004 0.000 3.004
3.004 3.004 0.000
ATOMIC_POSITIONS crystal
Ga 0.000 0.000 0.000
Re 0.250 0.250 0.250
W 0.500 0.500 0.500
! Space group: No. 216
! DFT total energy (eV per atom): -8.9825
! Theoretical density (g/cm3): 13.5

---

[6]
! PBE TaZnFeAg, relaxed; values from VASP
&SYSTEM
  ibrav = 0, nat = 4, ntyp = 4
/
ATOMIC_SPECIES
Ta 180.95 Ta.upf
Zn 65.41 Zn.upf
Fe 55.84 Fe.upf
Ag 107.87 Ag.upf
CELL_PARAMETERS angstrom
0.000 3.125 3.125
3.125 0.000 3.125
3.125 3.125 0.000
ATOMIC_POSITIONS crystal
Ta 0.000 0.000 0.000
Zn 0.500 0.500 0.500
Fe 0.750 0.750 0.750
Ag 0.250 0.250 0.250
! Energy relative to the elements (eV per formula unit): 1.08
! Space group: No. 216
! Theoretical density (g/cm3): 11.2

---

[7]
! PBE KErHf, relaxed; values from VASP
&SYSTEM
  ibrav = 0, nat = 3, ntyp = 3
/
ATOMIC_SPECIES
K 39.10 K.upf
Er 167.26 Er.upf
Hf 178.49 Hf.upf
CELL_PARAMETERS angstrom
0.000 3.754 3.754
3.754 0.000 3.754
3.754 3.754 0.000
ATOMIC_POSITIONS crystal
K 0.000 0.000 0.000
Er 0.750 0.750 0.750
Hf 0.250 0.250 0.250
! Space group: No. 216
! DFT total energy (eV per atom): -3.3857
! Theoretical density (g/cm3): 6.0

---

[8]
! PBE Pu3As2S, relaxed; values from VASP
&SYSTEM
  ibrav = 0, nat = 6, ntyp = 3
/
ATOMIC_SPECIES
Pu 244.00 Pu.upf
As 74.92 As.upf
S 32.06 S.upf
CELL_PARAMETERS angstrom
-2.047 2.893 6.118
2.047 -2.893 6.118
2.047 2.893 -6.118
ATOMIC_POSITIONS crystal
Pu 0.000 0.000 0.000
Pu 0.339 0.339 0.000
Pu 0.661 0.661 0.000
As 0.169 0.669 0.500
As 0.831 0.331 0.500
S 0.500 0.000 0.500
! Space group: No. 71
! DFT total energy (eV per atom): -10.6815
! Theoretical density (g/cm3): 10.5

---

What is the formula in the third record?
Sr2AgS6I

---

Please write out number 7 again, unchanged.
! PBE KErHf, relaxed; values from VASP
&SYSTEM
  ibrav = 0, nat = 3, ntyp = 3
/
ATOMIC_SPECIES
K 39.10 K.upf
Er 167.26 Er.upf
Hf 178.49 Hf.upf
CELL_PARAMETERS angstrom
0.000 3.754 3.754
3.754 0.000 3.754
3.754 3.754 0.000
ATOMIC_POSITIONS crystal
K 0.000 0.000 0.000
Er 0.750 0.750 0.750
Hf 0.250 0.250 0.250
! Space group: No. 216
! DFT total energy (eV per atom): -3.3857
! Theoretical density (g/cm3): 6.0